Material: K2H4I
Method: DFT, PBE-GGA
State: optimized geometry

Properties
Magnetization: 1.72 Bohr magnetons per cell
VASP energy: -1.974 eV per atom
Density of states at the Fermi level: 3.21 states/eV/f.u.
Crystal system: tetragonal

Lattice parameters (Å, degrees): 6.706 6.706 7.629 116.07 116.07 90.00
Fractional positions:
K1 0.875 0.125 0.750
K2 0.875 0.625 0.750
K3 0.375 0.125 0.250
K4 0.875 0.125 0.250
H1 0.657 0.845 0.313
H2 0.155 0.343 0.687
H3 0.531 0.343 0.687
H4 0.093 0.781 0.187
H5 0.219 0.907 0.813
H6 0.595 0.907 0.813
H7 0.657 0.469 0.313
H8 0.093 0.405 0.187
I1 0.250 0.750 0.500
I2 0.500 0.500 0.000